Here is Cs3ZrCd after structural relaxation from Alexandria via LeMat-Bulk. Energies are from PBE-GGA.

Its total magnetization is 0.67 μB per atom. The calculation puts the energy of formation at 0.986 eV/atom.

The structure belongs to space group Pm-3m (No. 221); the cell edges are 7.234, 7.234 and 7.234 Å and the angles 90.00°, 90.00° and 90.00°. The inequivalent atoms are Cs at (0.000, 0.000, 0.500), Zr at (0.500, 0.500, 0.500) and Cd at (0.000, 0.000, 0.000).


Here is CsZr3Cd after structural relaxation from Alexandria via LeMat-Bulk. Energies are from PBE-GGA.

Its total magnetization is 0.00 μB per atom. The calculation puts the energy of formation at 1.300 eV/atom.

The structure belongs to space group Pm-3m (No. 221); the cell edges are 5.478, 5.478 and 5.478 Å and the angles 90.00°, 90.00° and 90.00°. The inequivalent atoms are Cs at (0.000, 0.000, 0.000), Zr at (0.000, 0.500, 0.500) and Cd at (0.500, 0.500, 0.500).


Here is CdCu2 after structural relaxation from Alexandria via LeMat-Bulk. Energies are from PBE-GGA.

Its total magnetization is 0.00 μB per atom. The calculation puts the energy of formation at 0.644 eV/atom.

The structure belongs to space group P4_2/mnm (No. 136); the cell edges are 6.899, 6.899 and 2.662 Å and the angles 90.00°, 90.00° and 90.00°. The inequivalent atoms are Cd at (0.000, 0.000, 0.000) and Cu at (0.236, 0.236, 0.500).


Here is Cd4Cu after structural relaxation from Alexandria via LeMat-Bulk. Energies are from PBE-GGA.

Its total magnetization is 0.00 μB per atom. The calculation puts the energy of formation at 0.111 eV/atom.

The structure belongs to space group P-3m1 (No. 164); the cell edges are 3.0942, 3.0942 and 12.8743 Å and the angles 90.00°, 90.00° and 120.00°. The inequivalent atoms are Cd at (0.3333, 0.6667, 0.1039), Cd at (0.3333, 0.6667, 0.3356) and Cu at (0.0000, 0.0000, 0.5000).


Here is Cd5Cu2 after structural relaxation from Alexandria via LeMat-Bulk. Energies are from PBE-GGA.

Its total magnetization is 0.00 μB per atom. The calculation puts the energy of formation at 0.024 eV/atom.

The structure belongs to space group P6_3/mmc (No. 194); the cell edges are 8.3567, 8.3567 and 8.8117 Å and the angles 90.00°, 90.00° and 120.00°. The inequivalent atoms are Cd at (0.0000, 0.0000, 0.0000), Cd at (0.0721, 0.5360, 0.2500), Cd at (0.2037, 0.4073, 0.5409), Cu at (0.1109, 0.2218, 0.2500) and Cu at (0.3333, 0.6667, 0.7500).


Here is CdCu2 after structural relaxation from Alexandria via LeMat-Bulk. Energies are from PBE-GGA.

Its total magnetization is 0.00 μB per atom. The calculation puts the energy of formation at 0.228 eV/atom.

The structure belongs to space group I4_1/amd (No. 141, origin choice 2); the cell edges are 3.509, 3.509 and 15.993 Å and the angles 90.00°, 90.00° and 90.00°. The inequivalent atoms are Cd at (0.000, 0.250, 0.375) and Cu at (0.000, 0.250, 0.799).


Here is CdCu2 after structural relaxation from Alexandria via LeMat-Bulk. Energies are from PBE-GGA.

Its total magnetization is 0.00 μB per atom. The calculation puts the energy of formation at 0.136 eV/atom.

The structure belongs to space group I4/mcm (No. 140); the cell edges are 4.785, 4.785 and 8.698 Å and the angles 90.00°, 90.00° and 90.00°. The inequivalent atoms are Cd at (0.000, 0.000, 0.250) and Cu at (0.184, 0.316, 0.000).


Here is Cd3Cu4 after structural relaxation from Alexandria via LeMat-Bulk. Energies are from PBE-GGA.

Its total magnetization is 0.00 μB per atom. The calculation puts the energy of formation at 0.345 eV/atom. As for the energy above the most stable polymorph in this dataset: 0.2924 eV per atom.

The structure belongs to space group P6/mmm (No. 191); the cell edges are 5.4605, 5.4605 and 4.7098 Å and the angles 90.00°, 90.00° and 120.00°. The inequivalent atoms are Cd at (0.0000, 0.5000, 0.0000), Cu at (0.0000, 0.0000, 0.2526) and Cu at (0.3333, 0.6667, 0.5000).